# BeSnPCl2

An optimized crystal structure of BeSnPCl2 (GGA-PBE, Alexandria).

Values from the calculation:
* mass density: 3.965 g/cm³
* space-group type: P4/mmm (123)
* VASP energy: -3.566 eV per atom

POSCAR file:
```
BeSnPCl2
1.0
-0.3251 -0.3169 -4.3068
-4.2497 -0.7439 0.3755
-0.9083 5.0367 -0.3021
Be Sn Cl P
1 1 2 1
Cartesian
0.0000 0.0000 0.0000
-2.7416 1.9880 -2.1167
-0.1625 -0.1585 -2.1534
-2.1249 -0.3719 0.1878
-0.4542 2.5184 -0.1510
```